Crystalline Mn2FeOs at its relaxed geometry. Source: the Alexandria database, functional PBE.

CIF file:
```
data_Mn2FeOs
_cell_length_a 8.4570
_cell_length_b 2.5768
_cell_length_c 4.4154
_cell_angle_alpha 90.00
_cell_angle_beta 100.04
_cell_angle_gamma 90.00
_space_group_name_H-M_alt 'C 1 2/m 1'
_space_group_IT_number 12
_space_group_name_Hall '-C 2y'
loop_
_atom_site_label
_atom_site_type_symbol
_atom_site_fract_x
_atom_site_fract_y
_atom_site_fract_z
_atom_site_occupancy
Mn1 Mn 0.2465 0.0000 0.2349 1
Fe1 Fe 0.0000 0.5000 0.0000 1
Os1 Os 0.0000 0.0000 0.5000 1
```

Energy, eV/atom: -9.4062
Energy relative to the elements, eV/atom: 0.102
Total magnetic moment, μB per atom: 0.30

=====

Crystalline Tb2YSn at its relaxed geometry. Source: the Alexandria database, functional PBE.

CIF file:
```
data_Tb2YSn
_cell_length_a 4.2551
_cell_length_b 12.2665
_cell_length_c 9.5316
_cell_angle_alpha 90.00
_cell_angle_beta 90.00
_cell_angle_gamma 90.00
_space_group_name_H-M_alt 'C m c m'
_space_group_IT_number 63
_space_group_name_Hall '-C 2c 2'
loop_
_atom_site_label
_atom_site_type_symbol
_atom_site_fract_x
_atom_site_fract_y
_atom_site_fract_z
_atom_site_occupancy
Tb1 Tb 0.0000 0.1364 0.0536 1
Y1 Y 0.0000 0.4407 0.2500 1
Sn1 Sn 0.0000 0.2526 0.7500 1
```

Energy, eV/atom: -5.3049
Offset from the most stable computed form, eV/atom: 0.051
Energy relative to the elements, eV/atom: -0.373
Total magnetic moment, μB per atom: 0.00

=====

Crystalline TiHgRh2 at its relaxed geometry. Source: the Alexandria database, functional PBE.

CIF file:
```
data_TiHgRh2
_cell_length_a 3.1244
_cell_length_b 3.1244
_cell_length_c 6.6363
_cell_angle_alpha 90.00
_cell_angle_beta 90.00
_cell_angle_gamma 90.00
_space_group_name_H-M_alt 'P 4/m m m'
_space_group_IT_number 123
_space_group_name_Hall '-P 4 2'
loop_
_atom_site_label
_atom_site_type_symbol
_atom_site_fract_x
_atom_site_fract_y
_atom_site_fract_z
_atom_site_occupancy
Ti1 Ti 0.0000 0.0000 0.0000 1
Hg1 Hg 0.0000 0.0000 0.5000 1
Rh1 Rh 0.5000 0.5000 0.2153 1
```

Energy, eV/atom: -6.2062
Energy relative to the elements, eV/atom: -0.481
Total magnetic moment, μB per atom: 0.00

=====

Crystalline Nd6TlPd3 at its relaxed geometry. Source: the Alexandria database, functional PBE.

CIF file:
```
data_Nd6TlPd3
_cell_length_a 11.6968
_cell_length_b 13.4044
_cell_length_c 7.2938
_cell_angle_alpha 90.00
_cell_angle_beta 90.00
_cell_angle_gamma 90.00
_space_group_name_H-M_alt 'C m c 21'
_space_group_IT_number 36
_space_group_name_Hall 'C 2c -2'
loop_
_atom_site_label
_atom_site_type_symbol
_atom_site_fract_x
_atom_site_fract_y
_atom_site_fract_z
_atom_site_occupancy
Nd1 Nd 0.0000 0.0773 0.0000 1
Nd2 Nd 0.0000 0.2031 0.5020 1
Nd3 Nd 0.1563 0.4633 0.4543 1
Nd4 Nd 0.2213 0.2809 0.8338 1
Tl1 Tl 0.0000 0.3259 0.1315 1
Pd1 Pd 0.0000 0.3822 0.7458 1
Pd2 Pd 0.1682 0.0722 0.6699 1
```

Energy, eV/atom: -5.1332
Energy relative to the elements, eV/atom: -0.478
Total magnetic moment, μB per atom: 0.00